[1]
Density functional theory data (PBE) for HoCuPd4 after structural relaxation.

a = 4.519 Å, b = 5.007 Å, c = 9.556 Å
α = 90.00°, β = 103.68°, γ = 90.00°
Fractional coordinates of all 12 atoms:
Pd (0.267, 0.554, 0.535)
Pd (0.041, 0.743, 0.082)
Pd (0.540, 0.415, 0.080)
Pd (0.683, 0.556, 0.366)
Pd (0.959, 0.243, 0.918)
Pd (0.733, 0.054, 0.465)
Pd (0.460, 0.915, 0.920)
Pd (0.317, 0.056, 0.634)
Cu (0.595, 0.924, 0.190)
Cu (0.405, 0.424, 0.810)
Ho (0.135, 0.242, 0.269)
Ho (0.865, 0.742, 0.731)

Computed properties:
ΔE_f, eV per atom: -0.400
E_tot, eV/atom: -5.31
Volume, Å³ per atom: 17.51
Energy above the most stable polymorph in this dataset, meV per atom: 38
Fermi-level density of states, states/eV/atom: 0.428



[2]
Density functional theory data (PBE) for Ho2Cu15Pd2 after structural relaxation.

a = 6.491 Å, b = 6.491 Å, c = 6.491 Å
α = 83.28°, β = 83.28°, γ = 83.28°
Fractional coordinates of all 19 atoms:
Pd (0.894, 0.894, 0.894)
Pd (0.106, 0.106, 0.106)
Ho (0.663, 0.663, 0.663)
Ho (0.337, 0.337, 0.337)
Cu (0.000, 0.000, 0.500)
Cu (0.702, 0.000, 0.298)
Cu (0.298, 0.000, 0.702)
Cu (0.000, 0.500, 0.000)
Cu (0.650, 0.650, 0.158)
Cu (0.350, 0.350, 0.842)
Cu (0.000, 0.702, 0.298)
Cu (0.350, 0.842, 0.350)
Cu (0.000, 0.298, 0.702)
Cu (0.702, 0.298, 0.000)
Cu (0.842, 0.350, 0.350)
Cu (0.158, 0.650, 0.650)
Cu (0.650, 0.158, 0.650)
Cu (0.500, 0.000, 0.000)
Cu (0.298, 0.702, 0.000)

Computed properties:
ΔE_f, eV per atom: -0.186
E_tot, eV/atom: -4.45
Volume, Å³ per atom: 14.12
Fermi-level density of states, states/eV/atom: 0.458



[3]
Density functional theory data (PBE) for HoCu2Pd6 after structural relaxation.

a = 7.256 Å, b = 7.256 Å, c = 7.256 Å
α = 103.43°, β = 110.58°, γ = 114.60°
Fractional coordinates of all 18 atoms:
Pd (0.275, 0.589, 0.314)
Pd (0.081, 0.288, 0.793)
Pd (0.725, 0.040, 0.314)
Pd (0.217, 0.751, 0.968)
Pd (0.783, 0.751, 0.535)
Pd (0.275, 0.960, 0.686)
Pd (0.495, 0.288, 0.207)
Pd (0.505, 0.712, 0.793)
Pd (0.725, 0.411, 0.686)
Pd (0.217, 0.249, 0.465)
Pd (0.919, 0.712, 0.207)
Pd (0.783, 0.249, 0.032)
Cu (0.500, 0.626, 0.126)
Cu (0.500, 0.374, 0.874)
Cu (0.640, 0.000, 0.640)
Cu (0.360, 0.000, 0.360)
Ho (0.000, 0.500, 0.500)
Ho (0.000, 0.000, 0.000)

Computed properties:
ΔE_f, eV per atom: -0.300
E_tot, eV/atom: -5.18
Volume, Å³ per atom: 16.18
Fermi-level density of states, states/eV/atom: 0.490



[4]
Density functional theory data (PBE) for PmHoCuPd after structural relaxation.

a = 3.794 Å, b = 4.592 Å, c = 5.585 Å
α = 90.00°, β = 109.85°, γ = 90.00°
Fractional coordinates of all 4 atoms:
Cu (0.422, 0.000, 0.843)
Pm (0.140, 0.000, 0.280)
Pd (0.575, 0.500, 0.150)
Ho (0.863, 0.500, 0.726)

Computed properties:
ΔE_f, eV per atom: -0.557
E_tot, eV/atom: -5.21
Volume, Å³ per atom: 22.88
Energy above the most stable polymorph in this dataset, meV per atom: 0
Fermi-level density of states, states/eV/atom: 0.702



[5]
Density functional theory data (PBE) for PmHoCuPd after structural relaxation.

a = 5.000 Å, b = 5.000 Å, c = 5.000 Å
α = 60.00°, β = 60.00°, γ = 60.00°
Fractional coordinates of all 4 atoms:
Cu (0.250, 0.250, 0.250)
Pm (0.500, 0.500, 0.500)
Pd (0.750, 0.750, 0.750)
Ho (0.000, 0.000, 0.000)

Computed properties:
ΔE_f, eV per atom: -0.522
E_tot, eV/atom: -5.18
Volume, Å³ per atom: 22.09
Energy above the most stable polymorph in this dataset, meV per atom: 36
Fermi-level density of states, states/eV/atom: 0.647



[6]
Density functional theory data (PBE) for HoCuPdPt after structural relaxation.

a = 4.620 Å, b = 4.620 Å, c = 4.620 Å
α = 60.00°, β = 60.00°, γ = 60.00°
Fractional coordinates of all 4 atoms:
Pt (0.500, 0.500, 0.500)
Cu (0.750, 0.750, 0.750)
Ho (0.250, 0.250, 0.250)
Pd (0.000, 0.000, 0.000)

Computed properties:
ΔE_f, eV per atom: -0.682
E_tot, eV/atom: -5.66
Volume, Å³ per atom: 17.43
Energy above the most stable polymorph in this dataset, meV per atom: 99
Fermi-level density of states, states/eV/atom: 0.504



[7]
Density functional theory data (PBE) for HoCuPdPt after structural relaxation.

a = 3.927 Å, b = 4.205 Å, c = 4.099 Å
α = 90.00°, β = 90.00°, γ = 90.00°
Fractional coordinates of all 4 atoms:
Pt (0.000, 0.500, 0.500)
Cu (0.500, 0.000, 0.500)
Ho (0.500, 0.500, 0.000)
Pd (0.000, 0.000, 0.000)

Computed properties:
ΔE_f, eV per atom: -0.781
E_tot, eV/atom: -5.76
Volume, Å³ per atom: 16.92
Energy above the most stable polymorph in this dataset, meV per atom: 0
Fermi-level density of states, states/eV/atom: 0.217



[8]
Density functional theory data (PBE) for HoPuCuPd after structural relaxation.

a = 4.949 Å, b = 4.949 Å, c = 4.949 Å
α = 60.00°, β = 60.00°, γ = 60.00°
Fractional coordinates of all 4 atoms:
Ho (0.500, 0.500, 0.500)
Cu (0.250, 0.250, 0.250)
Pu (0.000, 0.000, 0.000)
Pd (0.750, 0.750, 0.750)

Computed properties:
ΔE_f, eV per atom: -0.317
E_tot, eV/atom: -7.37
Volume, Å³ per atom: 21.43
Fermi-level density of states, states/eV/atom: 2.946



[9]
Density functional theory data (PBE) for Ho4Cu2PdRu after structural relaxation.

a = 4.880 Å, b = 4.880 Å, c = 8.448 Å
α = 73.21°, β = 73.21°, γ = 60.00°
Fractional coordinates of all 8 atoms:
Ho (0.378, 0.378, 0.867)
Ho (0.873, 0.873, 0.382)
Ho (0.622, 0.622, 0.133)
Ho (0.127, 0.127, 0.618)
Pd (0.000, 0.000, 0.000)
Cu (0.751, 0.751, 0.748)
Cu (0.249, 0.249, 0.252)
Ru (0.500, 0.500, 0.500)

Computed properties:
ΔE_f, eV per atom: -0.475
E_tot, eV/atom: -5.60
Volume, Å³ per atom: 20.53
Fermi-level density of states, states/eV/atom: 0.662



[10]
Density functional theory data (PBE) for HoScCuPd after structural relaxation.

a = 3.563 Å, b = 4.474 Å, c = 5.372 Å
α = 90.00°, β = 109.37°, γ = 90.00°
Fractional coordinates of all 4 atoms:
Cu (0.581, 0.500, 0.163)
Pd (0.423, 0.000, 0.846)
Sc (0.137, 0.000, 0.274)
Ho (0.858, 0.500, 0.716)

Computed properties:
ΔE_f, eV per atom: -0.579
E_tot, eV/atom: -5.63
Volume, Å³ per atom: 20.19
Energy above the most stable polymorph in this dataset, meV per atom: 0
Fermi-level density of states, states/eV/atom: 0.536



[11]
Density functional theory data (PBE) for HoScCuPd after structural relaxation.

a = 4.793 Å, b = 4.793 Å, c = 4.793 Å
α = 60.00°, β = 60.00°, γ = 60.00°
Fractional coordinates of all 4 atoms:
Sc (0.500, 0.500, 0.500)
Pd (0.750, 0.750, 0.750)
Ho (0.000, 0.000, 0.000)
Cu (0.250, 0.250, 0.250)

Computed properties:
ΔE_f, eV per atom: -0.565
E_tot, eV/atom: -5.61
Volume, Å³ per atom: 19.47
Energy above the most stable polymorph in this dataset, meV per atom: 14
Fermi-level density of states, states/eV/atom: 0.775



[12]
Density functional theory data (PBE) for Ho2CuSi4Pd3 after structural relaxation.

a = 4.092 Å, b = 4.092 Å, c = 10.130 Å
α = 90.00°, β = 90.00°, γ = 90.00°
Fractional coordinates of all 10 atoms:
Ho (0.500, 0.000, 0.255)
Ho (0.000, 0.500, 0.745)
Si (0.500, 0.000, 0.634)
Si (0.000, 0.000, 0.000)
Si (0.500, 0.500, 0.000)
Si (0.000, 0.500, 0.366)
Pd (0.500, 0.000, 0.871)
Pd (0.000, 0.000, 0.500)
Pd (0.000, 0.500, 0.129)
Cu (0.500, 0.500, 0.500)

Computed properties:
E_tot, eV/atom: -5.84
Volume, Å³ per atom: 16.96
Formation energy without anion corrections, eV/atom: -0.787
Fermi-level density of states, states/eV/atom: 0.348